Dy2ErCd2: optimized geometry, PBE.

abc: 3.7101 5.3110 13.8242
angles: 90.00 97.73 90.00
With the nearest neighbours (Å) after each atom.
Sites, in units of the cell vectors:
Dy (0.0455, 0.7500, 0.0906)  8 Cd 3.20-3.26
Dy (0.9545, 0.2500, 0.9094)  8 Cd 3.20-3.26
Dy (0.2355, 0.7500, 0.4720)  2 Cd 3.20-3.21, 4 Dy 3.33, 2 Er 3.56
Dy (0.7645, 0.2500, 0.5280)  2 Cd 3.20-3.21, 4 Dy 3.33, 2 Er 3.56
Er (0.8503, 0.7500, 0.7015)  6 Cd 3.23-3.25, 2 Dy 3.56
Er (0.1497, 0.2500, 0.2985)  6 Cd 3.23-3.25, 2 Dy 3.56
Cd (0.6407, 0.7500, 0.2813)  4 Dy 3.20-3.21, 4 Er 3.25, 2 Cd 3.59
Cd (0.3593, 0.2500, 0.7187)  4 Dy 3.20-3.21, 4 Er 3.25, 2 Cd 3.59
Cd (0.4473, 0.7500, 0.8947)  2 Er 3.23, 6 Dy 3.25-3.26, 2 Cd 3.59
Cd (0.5527, 0.2500, 0.1053)  2 Er 3.23, 6 Dy 3.25-3.26, 2 Cd 3.59

Summary:
density of states at the Fermi level: 0.90 states/eV per atom
space group: No. 11
ΔE_f: -256 meV per atom

Dy2ErCd4: optimized geometry, PBE.

abc: 5.3068 5.3068 7.8400
angles: 109.78 109.78 90.00
With the nearest neighbours (Å) after each atom.
Sites, in units of the cell vectors:
Cd (0.3859, 0.8859, 0.7718)  2 Er 3.08, 1 Cd 3.14, 4 Dy 3.18-3.31
Cd (0.8859, 0.3859, 0.7718)  2 Er 3.08, 1 Cd 3.14, 4 Dy 3.18-3.31
Cd (0.6141, 0.1141, 0.2282)  2 Er 3.08, 1 Cd 3.14, 4 Dy 3.18-3.31
Cd (0.1141, 0.6141, 0.2282)  2 Er 3.08, 1 Cd 3.14, 4 Dy 3.18-3.31
Er (0.0000, 0.0000, 0.0000)  8 Cd 3.08
Dy (0.7419, 0.7419, 0.4838)  8 Cd 3.18-3.31, 1 Er 3.55
Dy (0.2581, 0.2581, 0.5162)  8 Cd 3.18-3.31, 1 Er 3.55

Summary:
density of states at the Fermi level: 0.73 states/eV per atom
space group: No. 139
ΔE_f: -155 meV per atom

Dy2ErCd2: optimized geometry, PBE.

abc: 4.9788 5.8883 5.8883
angles: 70.60 64.99 64.99
With the nearest neighbours (Å) after each atom.
Sites, in units of the cell vectors:
Dy (0.1982, 0.3018, 0.3018)  6 Cd 3.17-3.30, 1 Dy 3.26, 2 Er 3.51
Dy (0.8018, 0.6982, 0.6982)  6 Cd 3.17-3.30, 1 Dy 3.26, 2 Er 3.51
Er (0.0000, 0.0000, 0.0000)  4 Cd 3.17, 4 Dy 3.51
Cd (0.5000, 0.2892, 0.7108)  1 Cd 2.87, 2 Dy 3.17, 2 Er 3.17
Cd (0.5000, 0.7108, 0.2892)  1 Cd 2.87, 2 Dy 3.17, 2 Er 3.17

Summary:
density of states at the Fermi level: 1.13 states/eV per atom
space group: No. 71
ΔE_f: -160 meV per atom

- Among the records above, which one has the lowest density of states at the Fermi level?
  Dy2ErCd4